## Ho2MgAl (PBEsol)

Data for crystalline Ho2MgAl at its relaxed geometry.

## Properties
E_form	-1.07	eV/f.u.

Lattice parameters (Å, degrees): 7.224 7.224 7.224 90.00 90.00 90.00
Space group Fm-3m (No. 225)
Inequivalent atoms, fractional coordinates:
Ho 0.250 0.250 0.250
Mg 0.000 0.000 0.000
Al 0.000 0.000 0.500

***

## Mg2FeWO6 (PBEsol)

Data for crystalline Mg2FeWO6 at its relaxed geometry.

## Properties
energy above the most stable polymorph in this dataset	0.28	eV per formula unit
formation energy (no corrections)	-2.11	eV/atom

Lattice parameters (Å, degrees): 5.097 5.295 9.086 90.00 123.84 90.00
Space group P2_1/c (No. 14)
Inequivalent atoms, fractional coordinates:
Mg 0.229 0.057 0.240
Fe 0.000 0.000 0.500
W 0.500 0.000 0.000
O 0.127 0.182 0.942
O 0.249 0.695 0.920
O 0.391 0.069 0.761

***

## TcSbOs (PBEsol)

Data for crystalline TcSbOs at its relaxed geometry.

## Properties
energy above the most stable polymorph in this dataset	0.58	eV per formula unit
formation energy (no corrections)	0.52	eV/atom

Lattice parameters (Å, degrees): 4.3735 4.3735 2.9159 90.00 90.00 120.00
Space group P3m1 (No. 156)
Inequivalent atoms, fractional coordinates:
Tc 0.0000 0.0000 0.0000
Sb 0.6667 0.3333 0.3164
Os 0.3333 0.6667 0.5296

***

## Sb4H2SO10 (PBEsol)

Data for crystalline Sb4H2SO10 at its relaxed geometry.

## Properties
electronic total energy	-6.125	eV per atom

Lattice parameters (Å, degrees): 5.752 11.192 14.955 90.00 90.00 90.00
Space group Pca2_1 (No. 29)
Inequivalent atoms, fractional coordinates:
Sb 0.022 0.134 0.000
Sb 0.048 0.361 0.518
Sb 0.109 0.411 0.840
Sb 0.150 0.094 0.684
H 0.134 0.397 0.131
H 0.148 0.979 0.887
S 0.173 0.764 0.757
O 0.049 0.294 0.232
O 0.079 0.010 0.116
O 0.118 0.492 0.414
O 0.139 0.892 0.780
O 0.158 0.753 0.182
O 0.192 0.291 0.932
O 0.200 0.194 0.573
O 0.212 0.450 0.087
O 0.230 0.702 0.339
O 0.234 0.031 0.929

***

## Pb2WCl (PBEsol)

Data for crystalline Pb2WCl at its relaxed geometry.

## Properties
energy above the most stable polymorph in this dataset	0.14	eV per formula unit
formation energy (no corrections)	0.94	eV/atom

Lattice parameters (Å, degrees): 4.020 4.020 12.257 90.00 90.00 90.00
Space group I-4m2 (No. 119)
Inequivalent atoms, fractional coordinates:
Pb 0.000 0.000 0.000
Pb 0.000 0.500 0.250
W 0.000 0.000 0.500
Cl 0.000 0.500 0.750

***

## La3B2N4 (PBEsol)

Data for crystalline La3B2N4 at its relaxed geometry.

## Properties
formation energy (no corrections)	-1.47	eV/atom

Lattice parameters (Å, degrees): 3.587 6.366 10.908 90.00 90.00 90.00
Space group Immm (No. 71)
Inequivalent atoms, fractional coordinates:
La 0.000 0.000 0.000
La 0.000 0.500 0.201
B 0.000 0.142 0.500
N 0.000 0.256 0.382

***

## Ti3O4 (PBEsol)

Data for crystalline Ti3O4 at its relaxed geometry.

## Properties
energy above the most stable polymorph in this dataset	0.27	eV per formula unit
formation energy (no corrections)	-2.82	eV/atom

Lattice parameters (Å, degrees): 5.833 8.078 2.974 90.00 90.00 90.00
Space group Cmmm (No. 65)
Inequivalent atoms, fractional coordinates:
Ti 0.000 0.000 0.000
Ti 0.250 0.250 0.500
O 0.000 0.259 0.000
O 0.237 0.000 0.500

***

## NiRh2 (PBEsol)

Data for crystalline NiRh2 at its relaxed geometry.

## Properties
E_form	0.17	eV/f.u.
energy above the most stable polymorph in this dataset	0.07	eV per formula unit

Lattice parameters (Å, degrees): 2.6355 2.6355 12.5895 90.00 90.00 120.00
Space group P-3m1 (No. 164)
Inequivalent atoms, fractional coordinates:
Ni 0.3333 0.6667 0.4241
Rh 0.0000 0.0000 0.2610
Rh 0.3333 0.6667 0.9131

***

## CsScCdPb2 (PBEsol)

Data for crystalline CsScCdPb2 at its relaxed geometry.

## Properties
E_form	1.95	eV/f.u.

Lattice parameters (Å, degrees): 5.733 5.733 5.543 90.00 90.00 90.00
Space group P4/mmm (No. 123)
Inequivalent atoms, fractional coordinates:
Cs 0.000 0.000 0.000
Sc 0.500 0.500 0.000
Cd 0.500 0.500 0.500
Pb 0.000 0.500 0.500

***

## BaIrOF2 (PBEsol)

Data for crystalline BaIrOF2 at its relaxed geometry.

## Properties
formation energy (no corrections)	-0.18	eV/atom

Lattice parameters (Å, degrees): 4.814 4.814 4.995 90.00 90.00 90.00
Space group P4/mmm (No. 123)
Inequivalent atoms, fractional coordinates:
Ba 0.000 0.000 0.000
Ir 0.500 0.500 0.500
O 0.000 0.000 0.500
F 0.000 0.500 0.000

***

## CdSi3Au (PBEsol)

Data for crystalline CdSi3Au at its relaxed geometry.

## Properties
formation energy (no corrections)	1.36	eV/atom

Lattice parameters (Å, degrees): 4.874 4.874 4.874 90.00 90.00 90.00
Space group Pm-3m (No. 221)
Inequivalent atoms, fractional coordinates:
Cd 0.000 0.000 0.000
Si 0.000 0.000 0.500
Au 0.500 0.500 0.500

***

## AlCr2As (PBEsol)

Data for crystalline AlCr2As at its relaxed geometry.

## Properties
E_form	1.95	eV/f.u.
energy above the most stable polymorph in this dataset	1.75	eV per formula unit

Lattice parameters (Å, degrees): 6.708 6.708 5.351 90.00 90.00 90.00
Space group I-42d (No. 122)
Inequivalent atoms, fractional coordinates:
Al 0.000 0.000 0.000
Cr 0.221 0.750 0.625
As 0.000 0.000 0.500

***

## Zr2TcRh (PBEsol)

Data for crystalline Zr2TcRh at its relaxed geometry.

## Properties
E_form	-2.53	eV/f.u.

Lattice parameters (Å, degrees): 6.481 6.481 6.481 90.00 90.00 90.00
Space group Fm-3m (No. 225)
Inequivalent atoms, fractional coordinates:
Zr 0.250 0.250 0.250
Tc 0.000 0.000 0.000
Rh 0.000 0.000 0.500

***

## In2CuPdC (PBEsol)

Data for crystalline In2CuPdC at its relaxed geometry.

## Properties
E_form	7.96	eV/f.u.

Lattice parameters (Å, degrees): 4.739 4.739 4.598 90.00 90.00 90.00
Space group P4/mmm (No. 123)
Inequivalent atoms, fractional coordinates:
In 0.000 0.500 0.000
Cu 0.000 0.000 0.000
Pd 0.000 0.000 0.500
C 0.500 0.500 0.500

***

## K2SrBe (PBEsol)

Data for crystalline K2SrBe at its relaxed geometry.

## Properties
E_form	2.88	eV/f.u.

Lattice parameters (Å, degrees): 4.2379 4.2379 36.4725 90.00 90.00 120.00
Space group R-3m (No. 166, hexagonal axes)
Inequivalent atoms, fractional coordinates:
K 0.0000 0.0000 0.2288
Sr 0.0000 0.0000 0.0000
Be 0.0000 0.0000 0.5000

***

## Nb4Ni2C (PBEsol)

Data for crystalline Nb4Ni2C at its relaxed geometry.

## Properties
E_form	-2.57	eV/f.u.

Lattice parameters (Å, degrees): 11.609 11.609 11.609 90.00 90.00 90.00
Space group Fd-3m (No. 227, origin choice 2)
Inequivalent atoms, fractional coordinates:
Nb 0.000 0.000 0.000
Nb 0.059 0.375 0.875
Ni 0.046 0.046 0.204
C 0.000 0.000 0.500

***

## CaGaNi2N (PBEsol)

Data for crystalline CaGaNi2N at its relaxed geometry.

## Properties
formation energy (no corrections)	-0.11	eV/atom

Lattice parameters (Å, degrees): 3.863 3.863 4.560 90.00 90.00 90.00
Space group P4/mmm (No. 123)
Inequivalent atoms, fractional coordinates:
Ca 0.000 0.000 0.000
Ga 0.500 0.500 0.000
Ni 0.000 0.500 0.500
N 0.000 0.000 0.500

***

## GaBAs2Br (PBEsol)

Data for crystalline GaBAs2Br at its relaxed geometry.

## Properties
energy above the most stable polymorph in this dataset	0.00	eV per formula unit
formation energy (no corrections)	0.64	eV/atom

Lattice parameters (Å, degrees): 4.137 4.137 6.721 90.00 90.00 90.00
Space group P4/mmm (No. 123)
Inequivalent atoms, fractional coordinates:
Ga 0.000 0.000 0.000
B 0.500 0.500 0.500
As 0.000 0.500 0.500
Br 0.500 0.500 0.000

***

## LaTa2Os (PBEsol)

Data for crystalline LaTa2Os at its relaxed geometry.

## Properties
E_form	1.41	eV/f.u.

Lattice parameters (Å, degrees): 3.126 4.939 9.817 90.00 90.00 90.00
Space group Imm2 (No. 44)
Inequivalent atoms, fractional coordinates:
La 0.000 0.000 0.000
Ta 0.000 0.000 0.467
Ta 0.000 0.500 0.236
Os 0.000 0.500 0.752

***

## Sc4Pt5 (PBEsol)

Data for crystalline Sc4Pt5 at its relaxed geometry.

## Properties
E_form	-9.84	eV/f.u.

Lattice parameters (Å, degrees): 7.9486 7.9486 5.6086 90.00 90.00 120.00
Space group P6_3/mcm (No. 193)
Inequivalent atoms, fractional coordinates:
Sc 0.0000 0.0000 0.0000
Sc 0.0000 0.3662 0.2500
Pt 0.0000 0.2998 0.7500
Pt 0.3333 0.6667 0.0000

***

## BaCuAsN2 (PBEsol)

Data for crystalline BaCuAsN2 at its relaxed geometry.

## Properties
formation energy (no corrections)	0.88	eV/atom

Lattice parameters (Å, degrees): 4.269 4.269 4.496 90.00 90.00 90.00
Space group P4/mmm (No. 123)
Inequivalent atoms, fractional coordinates:
Ba 0.000 0.000 0.000
Cu 0.500 0.500 0.500
As 0.500 0.500 0.000
N 0.000 0.500 0.500

***

## Cs3TcNi (PBEsol)

Data for crystalline Cs3TcNi at its relaxed geometry.

## Properties
E_form	7.93	eV/f.u.

Lattice parameters (Å, degrees): 5.632 5.632 5.632 90.00 90.00 90.00
Space group Pm-3m (No. 221)
Inequivalent atoms, fractional coordinates:
Cs 0.000 0.000 0.500
Tc 0.000 0.000 0.000
Ni 0.500 0.500 0.500